No. 1
Computed, not measured: an optimized crystal structure of Sc2Ga8Ni at the PBEsol level of DFT.

The structure in POSCAR format:
```
Sc2Ga8Ni
1.0
-2.312 1.219 -3.150
-2.571 -3.111 0.683
-5.635 6.081 6.490
Sc Ga Ni
2 8 1
Cartesian
-1.755 1.894 2.021 Sc
-3.880 4.187 4.469 Sc
-1.988 -0.797 1.151 Ga
-6.217 3.767 6.021 Ga
-1.859 1.368 -0.765 Ga
-6.088 5.932 4.105 Ga
-4.103 1.485 3.586 Ga
-3.974 3.650 1.670 Ga
-4.172 0.922 0.760 Ga
-6.346 3.267 3.263 Ga
0.000 0.000 0.000 Ni
```

Summary:
For the density of states at the Fermi level, the calculation gives 0.336 states/eV/atom.

=====

No. 2
Computed, not measured: an optimized crystal structure of Y2MnW at the PBEsol level of DFT.

The structure in POSCAR format:
```
Y2MnW
1.0
3.309 0.000 0.000
0.000 4.920 0.000
-1.655 -2.460 5.015
Mn W Y
1 1 2
Cartesian
1.655 2.460 0.356 Mn
0.000 2.460 1.982 W
1.655 2.460 4.928 Y
1.655 0.000 2.764 Y
```

Summary:
For the density of states at the Fermi level, the calculation gives 0.778 states/eV/atom.

=====

Taking the records one at a time from the top gives electronic total energy values of -4.714, -8.989 eV per atom.
Taking the records one at a time from the top gives energy of formation from the pure elements values of -5.77, 1.26 eV per formula unit.